No. 1
LaMgCd4Ag2 PBE optimized geometry; ΔE_f = -14.2 kJ/mol of atoms; E = -2.1328 eV/atom; D(E_F) = 6.0 states/eV/cell
1.0
2.405 1.388 9.258
-2.405 1.388 9.258
0.000 -2.777 9.258
La Mg Cd Ag
1 1 4 2
Cartesian
0.000 0.000 0.000 La
0.000 0.000 13.887 Mg
0.000 0.000 3.525 Cd
0.000 0.000 10.955 Cd
0.000 0.000 16.819 Cd
0.000 0.000 24.249 Cd
0.000 0.000 6.663 Ag
0.000 0.000 21.111 Ag

***

No. 2
Ac6Tl6Sn PBE optimized geometry; ΔE_f = -25.5 kJ/mol of atoms; E = -3.5607 eV/atom; D(E_F) = 16.9 states/eV/cell
1.0
6.944 0.000 0.000
-3.472 6.014 0.000
0.000 0.000 11.409
Ac Tl Sn
6 6 1
Cartesian
0.000 0.000 2.356 Ac
0.000 0.000 9.052 Ac
0.000 4.009 0.000 Ac
0.000 4.009 5.704 Ac
3.472 2.005 0.000 Ac
3.472 2.005 5.704 Ac
-1.736 3.007 2.826 Tl
-1.736 3.007 8.582 Tl
3.472 0.000 2.826 Tl
3.472 0.000 8.582 Tl
1.736 3.007 2.826 Tl
1.736 3.007 8.582 Tl
0.000 0.000 5.704 Sn

***

No. 3
TcBiIN2 PBE optimized geometry; E = -4.3967 eV/atom; energy relative to the elements, uncorrected = 2.093 eV per atom; D(E_F) = 5.5 states/eV/cell
1.0
4.275 0.000 0.000
0.000 4.275 0.000
0.000 0.000 6.798
Tc Bi I N
1 1 1 2
Cartesian
0.000 0.000 0.000 Tc
2.137 2.137 3.399 Bi
2.137 2.137 0.000 I
0.000 2.137 3.399 N
2.137 0.000 3.399 N

***

No. 4
LiCaTlPb PBE optimized geometry; ΔE_f = -35.9 kJ/mol of atoms; E = -2.8698 eV/atom; D(E_F) = 0.7 states/eV/cell
1.0
0.000 3.758 3.758
3.758 0.000 3.758
3.758 3.758 0.000
Li Ca Tl Pb
1 1 1 1
Cartesian
0.000 0.000 0.000 Li
3.758 3.758 3.758 Ca
1.879 1.879 1.879 Tl
5.636 5.636 5.636 Pb

***

No. 5
CsCoI2 PBE optimized geometry; E = -2.9127 eV/atom; energy relative to the elements, uncorrected = -0.148 eV per atom; D(E_F) = 6.7 states/eV/cell
1.0
2.154 1.244 10.082
-2.154 1.244 10.082
0.000 -2.487 10.082
Cs Co I
1 1 2
Cartesian
0.000 0.000 0.000 Cs
0.000 0.000 15.123 Co
0.000 0.000 3.610 I
0.000 0.000 26.636 I

***

No. 6
KRb2CdF PBE optimized geometry; E = -2.1852 eV/atom; energy relative to the elements, uncorrected = -1.021 eV per atom; D(E_F) = 2.8 states/eV/cell
1.0
5.834 0.000 0.000
0.000 5.834 0.000
0.000 0.000 5.579
K Rb Cd F
1 2 1 1
Cartesian
0.000 0.000 0.000 K
0.000 2.917 2.789 Rb
2.917 0.000 2.789 Rb
2.917 2.917 0.000 Cd
0.000 0.000 2.789 F

***

No. 7
HfTaMoRu PBE optimized geometry; ΔE_f = -38.6 kJ/mol of atoms; E = -10.8788 eV/atom; D(E_F) = 3.1 states/eV/cell
1.0
3.229 0.000 0.000
0.000 3.229 0.000
0.000 0.000 6.529
Hf Ta Mo Ru
1 1 1 1
Cartesian
0.000 0.000 0.000 Hf
0.000 0.000 3.255 Ta
1.615 1.615 4.825 Mo
1.615 1.615 1.663 Ru

***

No. 8
Pm2Er5Pt4 PBE optimized geometry; ΔE_f = -76.1 kJ/mol of atoms; E = -5.9233 eV/atom; D(E_F) = 8.1 states/eV/cell
1.0
11.523 -1.899 0.000
11.523 1.899 0.000
-0.823 0.000 6.829
Pm Er Pt
2 5 4
Cartesian
2.035 0.000 2.770 Pm
20.188 0.000 4.059 Pm
2.322 0.000 6.203 Er
5.660 0.000 4.976 Er
11.523 0.000 0.000 Er
16.562 0.000 1.853 Er
19.900 0.000 0.626 Er
-0.077 0.000 4.870 Pt
7.054 0.000 2.350 Pt
15.168 0.000 4.480 Pt
22.300 0.000 1.959 Pt

***

No. 9
Ca2MoAu PBE optimized geometry; ΔE_f = 39.0 kJ/mol of atoms; E = -4.1238 eV/atom; D(E_F) = 2.0 states/eV/cell
1.0
0.000 3.592 3.592
3.592 0.000 3.592
3.592 3.592 0.000
Ca Mo Au
2 1 1
Cartesian
0.000 0.000 0.000 Ca
1.796 1.796 1.796 Ca
5.388 5.388 5.388 Mo
3.592 3.592 3.592 Au

***

No. 10
K2NbFe PBE optimized geometry; ΔE_f = 174.5 kJ/mol of atoms; E = -3.3735 eV/atom; D(E_F) = 3.0 states/eV/cell
1.0
0.000 4.060 4.060
4.060 0.000 4.060
4.060 4.060 0.000
K Nb Fe
2 1 1
Cartesian
2.030 2.030 2.030 K
6.090 6.090 6.090 K
0.000 0.000 0.000 Nb
4.060 4.060 4.060 Fe

***

No. 11
InSi2Se PBE optimized geometry; E = -4.0889 eV/atom; energy relative to the elements, uncorrected = 0.178 eV per atom; D(E_F) = 0.8 states/eV/cell
1.0
3.517 0.000 0.000
0.000 5.392 0.000
-0.356 0.000 4.657
In Si Se
1 2 1
Cartesian
0.000 0.000 0.000 In
1.831 0.000 2.155 Si
1.873 2.696 2.364 Si
0.122 2.696 4.056 Se

***

No. 12
AgHgAuS2 PBE optimized geometry; E = -2.3834 eV/atom; energy relative to the elements, uncorrected = 0.554 eV per atom; D(E_F) = 4.6 states/eV/cell
1.0
4.787 0.000 0.000
0.000 4.787 0.000
0.000 0.000 5.482
Ag Hg Au S
1 1 1 2
Cartesian
0.000 0.000 0.000 Ag
2.394 2.394 0.000 Hg
0.000 0.000 2.741 Au
0.000 2.394 2.741 S
2.394 0.000 2.741 S